No. 1
This record from Alexandria describes crystalline CaCu4Pd8 at its relaxed geometry. The functional is PBE.

```
CaCu4Pd8
1.0
-3.7531 0.7560 3.1860
-6.0012 -1.7299 -2.7657
-1.1897 -5.5448 3.8074
Ca Cu Pd
1 4 8
Direct
0.0000 0.0000 0.0000
0.0000 0.0000 0.5000
0.5000 0.0000 0.5000
0.0000 0.5000 0.0000
0.5000 0.5000 0.0000
0.0000 0.3503 0.6497
0.0000 0.6497 0.3503
0.3503 0.6497 0.6497
0.6497 0.3503 0.3503
0.5000 0.7818 0.2182
0.5000 0.2182 0.7818
0.2818 0.2182 0.2182
0.7182 0.7818 0.7818
```

- N(E_F) (states/eV/cell) = 14.0
- M_tot (μB per atom) = 0.00
- total DFT energy (no corrections) (Ry per atom) = -0.3561
- calculated density (Mg/m³) = 9.4


No. 2
This record from Alexandria describes crystalline La3CrSi at its relaxed geometry. The functional is PBE.

```
La3CrSi
1.0
-0.5212 -1.3276 4.9564
2.3725 -4.4798 -0.9505
4.5497 2.1839 1.0634
Cr Si La
1 1 3
Direct
0.0000 0.0000 0.0000
0.5000 0.5000 0.5000
0.0000 0.5000 0.0000
0.0000 0.0000 0.5000
0.5000 0.0000 0.0000
```

- N(E_F) (states/eV/cell) = 3.2
- M_tot (μB per atom) = 0.00
- energy relative to the elements, uncorrected (eV/atom) = 0.1390
- total DFT energy (no corrections) (Ry per atom) = -0.4283
- calculated density (Mg/m³) = 6.0


No. 3
This record from Alexandria describes crystalline Ag2TeAs at its relaxed geometry. The functional is PBE.

```
Ag2TeAs
1.0
-6.0178 0.3137 -2.5406
-1.4546 -5.6895 -2.8774
4.1900 2.8688 5.6305
As Te Ag
1 1 2
Direct
0.2500 0.7500 0.5000
0.7500 0.2500 0.5000
0.9804 0.0196 0.0000
0.5196 0.4804 0.0000
```

- N(E_F) (states/eV/cell) = 1.7
- M_tot (μB per atom) = 0.00
- relative energy among the computed polymorphs (meV per atom) = 62
- energy relative to the elements, uncorrected (eV/atom) = 0.1490
- total DFT energy (no corrections) (Ry per atom) = -0.2370
- calculated density (Mg/m³) = 7.6


No. 4
This record from Alexandria describes crystalline PmTmAgOs at its relaxed geometry. The functional is PBE.

```
PmTmAgOs
1.0
-2.2311 4.0227 1.9171
-2.3151 -0.2955 4.4032
1.9428 2.2613 3.9934
Tm Os Ag Pm
1 1 1 1
Direct
0.5000 0.5000 0.5000
0.7500 0.7500 0.7500
0.2500 0.2500 0.2500
0.0000 0.0000 0.0000
```

- N(E_F) (states/eV/cell) = 2.8
- M_tot (μB per atom) = 0.00
- total DFT energy (no corrections) (Ry per atom) = -0.4441
- calculated density (Mg/m³) = 11.6